[1]
Density functional theory data (PBE) for a geometry-optimized Ba2Cd4AgHg3 structure.

```
Ba2Cd4AgHg3
1.0
4.7638 0.0000 0.0000
0.0000 4.7638 0.0000
0.0000 0.0000 12.7375
Cd Hg Ba Ag
4 3 2 1
direct
0.5000 0.5000 0.0000
0.5000 0.0000 0.6291
0.0000 0.5000 0.3709
0.0000 0.0000 0.0000
0.0000 0.0000 0.5000
0.0000 0.5000 0.1435
0.5000 0.0000 0.8565
0.5000 0.0000 0.2535
0.0000 0.5000 0.7465
0.5000 0.5000 0.5000
```

Symmetry: P-4m2 (115)
E_form: -0.304 eV/atom

[2]
Density functional theory data (PBE) for a geometry-optimized MnZnW2 structure.

```
MnZnW2
1.0
-4.3130 -0.4477 -1.8631
-2.5938 -0.6415 -3.8902
-0.2035 -4.9178 0.2975
W Zn Mn
2 1 1
direct
0.7533 0.7533 0.7432
0.9955 0.9955 0.0040
0.5028 0.5028 0.4923
0.2484 0.2484 0.2606
```

Symmetry: Cm (8)
E_form: 0.305 eV/atom

[3]
Density functional theory data (PBE) for a geometry-optimized K2VHgRu structure.

```
K2VHgRu
1.0
-5.2787 -3.2696 1.0886
1.3872 -3.8391 -4.8039
2.6352 -3.1602 3.2865
Hg K Ru V
1 2 1 1
direct
0.0000 0.0000 0.5000
0.5000 0.0000 0.0000
0.0000 0.5000 0.0000
0.5000 0.5000 0.5000
0.0000 0.0000 0.0000
```

Symmetry: P4/mmm (123)
E_form: 1.654 eV/atom

[4]
Density functional theory data (PBE) for a geometry-optimized Hf2Ti3Al4 structure.

```
Hf2Ti3Al4
1.0
-3.7352 0.4548 3.8950
5.0258 -1.8995 0.6802
1.5140 6.9179 -0.9403
Al Ti Hf
4 3 2
direct
0.0173 0.3364 0.3537
0.3364 0.0173 0.3537
0.6636 0.9827 0.6463
0.9827 0.6636 0.6463
0.0000 0.0000 0.0000
0.0000 0.5000 0.0000
0.5000 0.0000 0.0000
0.3672 0.3672 0.7344
0.6328 0.6328 0.2656
```

Symmetry: Fmmm (69)
E_form: -0.190 eV/atom

[5]
Density functional theory data (PBE) for a geometry-optimized Sc3ZnN structure.

```
Sc3ZnN
1.0
5.3867 0.0000 1.3578
-2.6933 4.6650 1.3578
-2.6933 -4.6650 1.3578
Sc Zn N
3 1 1
direct
0.7412 0.1206 0.7412
0.7412 0.7412 0.1206
0.1206 0.7412 0.7412
0.3828 0.3828 0.3828
0.8893 0.8893 0.8893
```

Symmetry: R3m (160)
Raw formation energy: -0.236 eV per atom

[6]
Density functional theory data (PBE) for a geometry-optimized SrCrSe2 structure.

```
SrCrSe2
1.0
-0.7429 -3.1997 3.9552
0.7980 -5.0447 -0.5896
4.0231 -2.2496 2.2774
Cr Se Sr
1 2 1
direct
0.5000 0.5000 0.5000
0.0000 0.0000 0.0000
0.2500 0.2500 0.2500
0.7500 0.7500 0.7500
```

Symmetry: F-43m (216)
Raw formation energy: -0.121 eV per atom